[1]
Ce2PrHoS5 | PBE | relaxed

Cell: 4.8823 4.8823 10.5783 Å, 90.00 90.00 90.00°
Space group P4/mmm (No. 123)
Inequivalent atoms, fractional coordinates:
Ce  0.0000  0.0000  0.1915 x2
Pr  0.5000  0.5000  0.5000 x1
Ho  0.5000  0.5000  0.0000 x1
S  0.0000  0.0000  0.5000 x1
S  0.0000  0.5000  0.0000 x2
S  0.5000  0.5000  0.2490 x2

## Properties
formation energy without anion corrections	-1509	meV per atom
N(E_F)	18.12	states/eV/f.u.

[2]
ErScGe2 | PBE | relaxed

Cell: 3.8720 4.1395 10.3914 Å, 90.00 90.00 90.00°
Space group Amm2 (No. 38)
Inequivalent atoms, fractional coordinates:
Er  0.0000  0.0000  0.0000 x2
Sc  0.5000  0.0000  0.7260 x2
Ge  0.0000  0.0000  0.2737 x2
Ge  0.5000  0.0000  0.4500 x2

## Properties
energy relative to the elements	-0.825	eV per atom
N(E_F)	2.64	states/eV/f.u.

[3]
Ce5TcGe2 | PBE | relaxed

Cell: 7.6237 11.6224 4.5075 Å, 90.00 90.00 90.00°
Space group Pbam (No. 55)
Inequivalent atoms, fractional coordinates:
Ce  0.0000  0.0000  0.0000 x2
Ce  0.1400  0.2893  0.0000 x4
Ce  0.2080  0.5642  0.5000 x4
Tc  0.0000  0.5000  0.0000 x2
Ge  0.0840  0.8265  0.5000 x4

## Properties
energy relative to the elements	-0.484	eV per atom
N(E_F)	20.14	states/eV/f.u.
ΔE to the lowest computed polymorph	0.000	eV/atom

[4]
Cs2Tl7Bi | PBE | relaxed

Cell: 5.2679 5.2679 14.0448 Å, 90.00 90.00 90.00°
Space group P-4m2 (No. 115)
Inequivalent atoms, fractional coordinates:
Cs  0.0000  0.5000  0.2451 x2
Tl  0.0000  0.0000  0.0000 x1
Tl  0.0000  0.0000  0.5000 x1
Tl  0.0000  0.5000  0.6306 x2
Tl  0.0000  0.5000  0.8617 x2
Tl  0.5000  0.5000  0.5000 x1
Bi  0.5000  0.5000  0.0000 x1

## Properties
energy relative to the elements	-0.091	eV per atom
N(E_F)	6.39	states/eV/f.u.
ΔE to the lowest computed polymorph	0.000	eV/atom

[5]
NdY2Ni6 | PBE | relaxed

Cell: 6.9139 6.9139 3.8802 Å, 90.00 90.00 120.00°
Space group P6/mmm (No. 191)
Inequivalent atoms, fractional coordinates:
Nd  0.0000  0.0000  0.0000 x1
Y  0.3333  0.6667  0.0000 x2
Ni  0.0000  0.3349  0.5000 x6

## Properties
energy relative to the elements	-0.356	eV per atom
N(E_F)	9.68	states/eV/f.u.

[6]
Ba2ScSb | PBE | relaxed

Cell: 8.1993 8.1993 8.1993 Å, 90.00 90.00 90.00°
Space group F-43m (No. 216)
Inequivalent atoms, fractional coordinates:
Ba  0.0000  0.0000  0.0000 x4
Ba  0.2500  0.2500  0.2500 x4
Sc  0.2500  0.2500  0.7500 x4
Sb  0.0000  0.0000  0.5000 x4

## Properties
formation energy without anion corrections	-61	meV per atom
N(E_F)	5.38	states/eV/f.u.

[7]
Tb2Nd3Ho6Th | PBE | relaxed

Cell: 6.2035 10.7402 11.7939 Å, 90.00 100.10 90.00°
Space group C2/m (No. 12)
Inequivalent atoms, fractional coordinates:
Tb  0.0000  0.1667  0.0000 x4
Nd  0.0000  0.0000  0.5000 x2
Nd  0.0000  0.3328  0.5000 x4
Ho  0.2471  0.5000  0.7533 x4
Ho  0.2475  0.3351  0.2466 x8
Th  0.0000  0.5000  0.0000 x2

## Properties
energy relative to the elements	0.020	eV per atom
N(E_F)	15.19	states/eV/f.u.

[8]
KInCu | PBE | relaxed

Cell: 3.3350 4.0340 12.4474 Å, 90.00 90.00 90.00°
Space group Imm2 (No. 44)
Inequivalent atoms, fractional coordinates:
K  0.0000  0.0000  0.0000 x2
In  0.0000  0.0000  0.2801 x2
Cu  0.0000  0.0000  0.7191 x2

## Properties
energy relative to the elements	0.125	eV per atom
N(E_F)	1.16	states/eV/f.u.

no.,electronic total energy (Ry per atom),volume (Å³/atom),spin magnetization (Bohr magnetons per cell)
1,-0.453,28.017,3.32
2,-0.430,20.819,0.00
3,-0.488,24.962,6.24
4,-0.170,38.976,0.00
5,-0.454,17.848,0.80
6,-0.267,34.452,10.66
7,-0.357,32.234,0.00
8,-0.185,27.910,0.00